#w
Compound: Mg2HgW
Source: the Alexandria database
Functional: SCAN
Structure: PBEsol geometry

abc: 2.8372 4.8575 5.3172
angles: 90.00 89.96 90.00
Fractional positions:
W 0.3752 0.0000 0.4705
Mg 0.8747 0.0000 0.9710
Mg 0.8756 0.5000 0.2936
Hg 0.3745 0.5000 0.7648

## Properties
As for the volume: 18.3 Å³/atom. For the density of states at the Fermi level, the calculation gives 2.36 states/eV/f.u. Its space group is No. 25.


#x
Compound: Mg2HgW
Source: the Alexandria database
Functional: SCAN
Structure: PBEsol geometry

abc: 2.9121 4.2642 5.8610
angles: 90.00 90.00 90.00
Fractional positions:
W 0.0000 0.0000 0.4924
Mg 0.0000 0.0000 0.9970
Mg 0.5000 0.5000 0.2654
Hg 0.5000 0.5000 0.7452

## Properties
As for the volume: 18.2 Å³/atom. For the density of states at the Fermi level, the calculation gives 2.23 states/eV/f.u. Its space group is No. 25.


List of relative energies, unit meV/atom: #w 0; #x 55


#w
Compound: Y2MgHg
Source: the Alexandria database
Functional: SCAN
Structure: PBEsol geometry

abc: 3.6102 5.1975 6.2839
angles: 114.43 106.69 90.00
Fractional positions:
Mg 0.2176 0.7176 0.4352
Y 0.9955 0.9955 0.9911
Y 0.7721 0.2721 0.5442
Hg 0.5148 0.5148 0.0295

## Properties
As for the volume: 25.5 Å³/atom. For the density of states at the Fermi level, the calculation gives 2.89 states/eV/f.u. Its space group is No. 44.


#x
Compound: Y2MgHg
Source: the Alexandria database
Functional: SCAN
Structure: PBEsol geometry

abc: 3.5855 4.8100 6.2542
angles: 90.00 107.27 90.00
Fractional positions:
Hg 0.3031 0.0000 0.4835
Y 0.0407 0.0000 0.9541
Y 0.7126 0.5000 0.3032
Mg 0.4436 0.5000 0.7591

## Properties
As for the volume: 25.7 Å³/atom. For the density of states at the Fermi level, the calculation gives 3.90 states/eV/f.u. Its space group is No. 6.


#y
Compound: Y2MgHg
Source: the Alexandria database
Functional: SCAN
Structure: PBEsol geometry

abc: 3.8323 5.1289 5.1289
angles: 90.00 90.00 90.00
Fractional positions:
Hg 0.5000 0.5000 0.5000
Y 0.0000 0.0000 0.5000
Y 0.0000 0.5000 0.0000
Mg 0.5000 0.0000 0.0000

## Properties
As for the volume: 25.2 Å³/atom. For the density of states at the Fermi level, the calculation gives 3.06 states/eV/f.u. Its space group is No. 123.


List of relative energies, unit meV/atom: #w 64; #x 57; #y 0


#w
Compound: Mg2Zn2Hg
Source: the Alexandria database
Functional: SCAN
Structure: PBEsol geometry

abc: 3.9800 6.8426 6.8426
angles: 90.00 90.00 90.00
Fractional positions:
Hg 0.0000 0.5000 0.5000
Hg 0.0000 0.0000 0.0000
Zn 0.0000 0.3722 0.8722
Zn 0.0000 0.1278 0.3722
Zn 0.0000 0.6278 0.1278
Zn 0.0000 0.8722 0.6278
Mg 0.5000 0.8316 0.3316
Mg 0.5000 0.3316 0.1684
Mg 0.5000 0.6684 0.8316
Mg 0.5000 0.1684 0.6684

## Properties
As for the volume: 18.6 Å³/atom. For the density of states at the Fermi level, the calculation gives 1.31 states/eV/f.u. Its space group is No. 127.


#x
Compound: Mg2Zn2Hg
Source: the Alexandria database
Functional: SCAN
Structure: PBEsol geometry

abc: 4.1136 4.1136 6.6979
angles: 107.88 107.88 90.00
Fractional positions:
Hg 0.0000 0.0000 0.0000
Mg 0.2500 0.7500 0.5000
Mg 0.7500 0.2500 0.5000
Zn 0.5980 0.5980 0.1959
Zn 0.4020 0.4020 0.8041

## Properties
As for the volume: 20.4 Å³/atom. For the density of states at the Fermi level, the calculation gives 2.01 states/eV/f.u. Its space group is No. 139.


List of relative energies, unit meV/atom: #w 0; #x 305


#w
Compound: MgZr2Hg
Source: the Alexandria database
Functional: SCAN
Structure: PBEsol geometry

abc: 3.2314 5.2829 5.5292
angles: 110.69 106.99 90.00
Fractional positions:
Hg 0.4987 0.4356 0.9974
Zr 0.9965 0.9473 0.9930
Zr 0.2424 0.8030 0.4847
Mg 0.7624 0.3141 0.5249

## Properties
As for the volume: 21.0 Å³/atom. For the density of states at the Fermi level, the calculation gives 3.15 states/eV/f.u. Its space group is No. 8.


#x
Compound: MgZr2Hg
Source: the Alexandria database
Functional: SCAN
Structure: PBEsol geometry

abc: 3.1914 4.1664 6.3501
angles: 90.00 90.00 90.00
Fractional positions:
Hg 0.0000 0.0000 0.5069
Zr 0.0000 0.0000 0.0030
Zr 0.5000 0.5000 0.2484
Mg 0.5000 0.5000 0.7417

## Properties
As for the volume: 21.1 Å³/atom. For the density of states at the Fermi level, the calculation gives 2.70 states/eV/f.u. Its space group is No. 25.


#y
Compound: MgZr2Hg
Source: the Alexandria database
Functional: SCAN
Structure: PBEsol geometry

abc: 4.2557 4.2557 5.4356
angles: 113.05 113.05 90.00
Fractional positions:
Mg 0.0000 0.0000 0.0000
Zr 0.7500 0.2500 0.5000
Zr 0.2500 0.7500 0.5000
Hg 0.5000 0.5000 0.0000

## Properties
As for the volume: 20.5 Å³/atom. For the density of states at the Fermi level, the calculation gives 3.72 states/eV/f.u. Its space group is No. 139.


#z
Compound: MgZr2Hg
Source: the Alexandria database
Functional: SCAN
Structure: PBEsol geometry

abc: 3.1353 3.1353 8.6685
angles: 90.00 90.00 90.00
Fractional positions:
Hg 0.0000 0.0000 0.5076
Zr 0.0000 0.0000 0.0024
Zr 0.5000 0.5000 0.2595
Mg 0.5000 0.5000 0.7305

## Properties
As for the volume: 21.3 Å³/atom. For the density of states at the Fermi level, the calculation gives 3.00 states/eV/f.u. Its space group is No. 99.


List of relative energies, unit meV/atom: #w 35; #x 65; #y 0; #z 18


#w
Compound: MgZr2Hg
Source: the Alexandria database
Functional: SCAN
Structure: PBEsol geometry

abc: 3.2670 5.2387 5.2387
angles: 111.79 90.00 90.00
Fractional positions:
Zr 0.0000 0.5000 0.0000
Zr 0.0000 0.0000 0.5000
Hg 0.5000 0.0000 0.0000
Mg 0.5000 0.5000 0.5000

## Properties
As for the volume: 20.8 Å³/atom. For the density of states at the Fermi level, the calculation gives 3.23 states/eV/f.u. Its space group is No. 65.


#x
Compound: MgZr2Hg
Source: the Alexandria database
Functional: SCAN
Structure: PBEsol geometry

abc: 3.3130 4.2527 5.9046
angles: 90.00 90.00 90.00
Fractional positions:
Mg 0.5000 0.5000 0.5000
Zr 0.0000 0.0000 0.7545
Zr 0.0000 0.0000 0.2455
Hg 0.5000 0.5000 0.0000

## Properties
As for the volume: 20.8 Å³/atom. For the density of states at the Fermi level, the calculation gives 2.74 states/eV/f.u. Its space group is No. 47.


List of relative energies, unit meV/atom: #w 21; #x 0


#w
Compound: MnHg
Source: the Alexandria database
Functional: SCAN
Structure: PBEsol geometry

abc: 3.2469 3.2469 3.2480
angles: 90.00 90.00 90.00
Fractional positions:
Hg 0.0000 0.0000 0.0000
Mn 0.5000 0.5000 0.5000

## Properties
As for the volume: 17.1 Å³/atom. For the density of states at the Fermi level, the calculation gives 0.79 states/eV/f.u. Its space group is No. 221.


#x
Compound: MnHg
Source: the Alexandria database
Functional: SCAN
Structure: PBEsol geometry

abc: 3.0381 3.0381 8.8263
angles: 90.00 90.00 120.00
Fractional positions:
Mn 0.3333 0.6667 0.2500
Mn 0.6667 0.3333 0.7500
Hg 0.0000 0.0000 0.0000
Hg 0.0000 0.0000 0.5000

## Properties
As for the volume: 17.6 Å³/atom. For the density of states at the Fermi level, the calculation gives 1.04 states/eV/f.u. Its space group is No. 194.


#y
Compound: MnHg
Source: the Alexandria database
Functional: SCAN
Structure: PBEsol geometry

abc: 4.6110 4.6110 4.6110
angles: 60.00 60.00 60.00
Fractional positions:
Mn 0.0000 0.0000 0.0000
Mn 0.2500 0.2500 0.2500
Hg 0.5000 0.5000 0.5000
Hg 0.7500 0.7500 0.7500

## Properties
As for the volume: 17.3 Å³/atom. For the density of states at the Fermi level, the calculation gives 1.90 states/eV/f.u. Its space group is No. 227.


List of relative energies, unit meV/atom: #w 0; #x 131; #y 241